(1)
The following is a DFT calculation (GGA-PBE) of an optimized crystal structure of Tl3AgTe6As2.

Unit cell a=7.462 b=7.462 c=7.870 alpha=98.87 beta=98.87 gamma=119.65
Positions (direct):
Tl: 0.171 0.829 0.500
Tl: 0.829 0.171 0.500
Tl: 0.500 0.500 0.500
Ag: 0.000 0.000 0.000
Te: 0.929 0.594 0.790
Te: 0.734 0.734 0.209
Te: 0.071 0.406 0.210
Te: 0.594 0.929 0.790
Te: 0.266 0.266 0.791
Te: 0.406 0.071 0.210
As: 0.335 0.665 0.000
As: 0.665 0.335 0.000

Values from the calculation:
The symmetry is C2/m, No. 12. For the density, the calculation gives 7.50 Mg/m³.

(2)
The following is a DFT calculation (GGA-PBE) of an optimized crystal structure of ZnAg2TeAs.

Unit cell a=4.977 b=4.818 c=4.977 alpha=90.00 beta=90.00 gamma=90.00
Positions (direct):
As: 0.000 0.500 0.000
Te: 0.500 0.500 0.500
Zn: 0.000 0.000 0.000
Ag: 0.000 0.000 0.500
Ag: 0.500 0.000 0.000

Values from the calculation:
The symmetry is P4/mmm, No. 123. For the density, the calculation gives 6.73 Mg/m³.

| no. | formation energy from raw total energies (eV per atom) | electronic total energy (eV per atom) |
| --- | --- | --- |
| 1 | -0.10 | -3.276 |
| 2 | 0.48 | -2.472 |